(1)
Entry from the Alexandria database: Pu2Ga5Rh3 after structural relaxation (PBE).

a = 5.694 Å, b = 8.620 Å, c = 8.620 Å
α = 70.83°, β = 70.71°, γ = 70.71°
Last column: magnetic moment on the atom in μB.
Fractional positions:
Pu: 0.151 0.571 0.128  5.17
Pu: 0.651 0.128 0.571  5.17
Pu: 0.849 0.429 0.872  5.17
Pu: 0.349 0.872 0.429  5.17
Ga: 0.419 0.261 0.900  -0.01
Ga: 0.919 0.900 0.261  -0.01
Ga: 0.581 0.739 0.100  -0.01
Ga: 0.081 0.100 0.739  -0.01
Ga: 0.449 0.801 0.801  -0.02
Ga: 0.551 0.199 0.199  -0.02
Ga: 0.750 0.500 0.500  0.01
Ga: 0.250 0.500 0.500  0.01
Ga: 0.051 0.199 0.199  -0.02
Ga: 0.949 0.801 0.801  -0.02
Rh: 0.349 0.564 0.739  -0.12
Rh: 0.849 0.739 0.564  -0.12
Rh: 0.651 0.436 0.261  -0.12
Rh: 0.151 0.261 0.436  -0.12
Rh: 0.250 0.000 0.000  -0.02
Rh: 0.750 0.000 0.000  -0.02

Summary:
- uncorrected energy (eV/atom) = -7.19
- calculated formation energy (kJ/mol of formula units) = -580
- excess energy over the best structure of this formula in the dataset (meV/atom) = 0

(2)
Entry from the Alexandria database: NbRe2Os after structural relaxation (PBE).

a = 5.821 Å, b = 5.821 Å, c = 6.961 Å
α = 65.28°, β = 65.28°, γ = 90.00°
Fractional positions:
Re: 0.650 0.125 0.250
Re: 0.100 0.625 0.250
Re: 0.375 0.350 0.750
Re: 0.875 0.900 0.750
Nb: 0.500 0.500 0.000
Nb: 0.250 0.750 0.500
Os: 0.000 0.000 0.000
Os: 0.750 0.250 0.500

Summary:
- uncorrected energy (eV/atom) = -9.85
- calculated formation energy (kJ/mol of formula units) = 657
- excess energy over the best structure of this formula in the dataset (meV/atom) = 1477

(3)
Entry from the Alexandria database: PaTlSb2O8 after structural relaxation (PBE).

a = 6.002 Å, b = 6.002 Å, c = 7.832 Å
α = 90.00°, β = 90.00°, γ = 120.00°
Fractional positions:
Pa: 0.000 0.000 0.500
Tl: 0.000 0.000 0.000
Sb: 0.667 0.333 0.229
Sb: 0.333 0.667 0.771
O: 0.333 0.667 0.007
O: 0.332 0.165 0.333
O: 0.835 0.166 0.333
O: 0.667 0.333 0.993
O: 0.165 0.834 0.667
O: 0.668 0.835 0.667
O: 0.166 0.332 0.667
O: 0.834 0.668 0.333

Summary:
- uncorrected energy (eV/atom) = -6.75
- formation energy from raw total energies (meV/atom) = -1772

(4)
Entry from the Alexandria database: Tb3PuCo3 after structural relaxation (PBE).

a = 3.837 Å, b = 6.276 Å, c = 13.054 Å
α = 86.60°, β = 81.55°, γ = 72.20°
Last column: magnetic moment on the atom in μB.
Fractional positions:
Tb: 0.498 0.366 0.639  0.21
Tb: 0.502 0.634 0.361  0.21
Tb: 0.267 0.261 0.206  0.15
Tb: 0.733 0.739 0.794  0.15
Tb: 0.404 0.269 0.923  0.13
Tb: 0.596 0.731 0.077  0.13
Pu: 0.765 0.066 0.403  4.99
Pu: 0.235 0.934 0.597  4.99
Co: 0.892 0.674 0.543  -0.66
Co: 0.108 0.326 0.457  -0.66
Co: 0.089 0.893 0.929  -0.43
Co: 0.911 0.107 0.071  -0.43
Co: 0.935 0.900 0.230  -0.52
Co: 0.065 0.100 0.770  -0.52

Summary:
- uncorrected energy (eV/atom) = -7.20
- calculated formation energy (kJ/mol of formula units) = -84

> Number 1 is which compound?

Pu2Ga5Rh3

> uncorrected energy of number 1 (Pu2Ga5Rh3)?

-7.19 eV/atom

> Which value of uncorrected energy does entry 4 give?

-7.20 eV/atom

> What is the formula in the fourth record?

Tb3PuCo3